#1
MoP3Ir | PBE | optimized geometry

**Fermi-level density of states**: 0.999 states/eV/atom
**Mass density**: 6.52 g/cm³
**Total moment**: 0.00 μB/f.u.
**Space group**: Pm-3m

Lattice parameters (Å, degrees): 4.5960 4.5960 4.5960 90.00 90.00 90.00
Last column: nearest neighbours and their distance in Å.
Element x y z (fractional)
P: 0.5000 0.0000 0.0000  2 Mo 2.30
P: 0.0000 0.5000 0.0000  2 Mo 2.30
P: 0.0000 0.0000 0.5000  2 Mo 2.30
Ir: 0.5000 0.5000 0.5000  12 P 3.25
Mo: 0.0000 0.0000 0.0000  6 P 2.30

***

#2
MoP3Ir | PBE | optimized geometry

**Fermi-level density of states**: 1.296 states/eV/atom
**Mass density**: 6.73 g/cm³
**Total moment**: 0.04 μB/f.u.
**Space group**: Pm-3m

Lattice parameters (Å, degrees): 4.5475 4.5475 4.5475 90.00 90.00 90.00
Last column: nearest neighbours and their distance in Å.
Element x y z (fractional)
P: 0.0000 0.5000 0.0000  2 Ir 2.27
P: 0.0000 0.0000 0.5000  2 Ir 2.27
P: 0.5000 0.0000 0.0000  2 Ir 2.27
Ir: 0.0000 0.0000 0.0000  6 P 2.27
Mo: 0.5000 0.5000 0.5000  12 P 3.22

***

Each structure's energy above the most stable one, in kJ/mol of atoms: #1 0.0; #2 7.3.

***

#1
MoP2Ir | PBE | optimized geometry

**Fermi-level density of states**: 1.378 states/eV/atom
**Mass density**: 9.91 g/cm³
**Total moment**: 0.03 μB/f.u.
**Space group**: F-43m

Lattice parameters (Å, degrees): 4.3619 4.3619 4.3619 60.00 60.00 60.00
Last column: nearest neighbours and their distance in Å.
Element x y z (fractional)
P: 0.2500 0.2500 0.2500  4 Ir 2.67, 4 P 2.67
P: 0.0000 0.0000 0.0000  4 P 2.67, 4 Mo 2.67
Ir: 0.5000 0.5000 0.5000  4 Mo 2.67, 4 P 2.67
Mo: 0.7500 0.7500 0.7500  4 Ir 2.67, 4 P 2.67

***

#2
MoP2Ir | PBE | optimized geometry

**Fermi-level density of states**: 0.472 states/eV/atom
**Mass density**: 9.74 g/cm³
**Total moment**: 0.00 μB/f.u.
**Space group**: Cm

Lattice parameters (Å, degrees): 4.3514 4.3514 4.7561 75.17 75.17 43.60
Last column: nearest neighbours and their distance in Å.
Element x y z (fractional)
Ir: 0.4946 0.4946 0.5169  5 P 2.38-2.56
P: 0.7454 0.7454 0.7217  3 Ir 2.48-2.56, 2 Mo 2.50
P: 0.9855 0.9855 0.1540  3 Mo 2.28-2.40, 2 Ir 2.38
Mo: 0.2744 0.2744 0.1073  5 P 2.28-2.50

***

Each structure's energy above the most stable one, in kJ/mol of atoms: #1 74.5; #2 0.0.